# Mg2MnNbPd

A relaxed Mg2MnNbPd crystal (GGA-PBE, Alexandria via LeMat-Bulk).

Computed properties:
Formation energy from the elements: 1.75 eV/atom
Total DFT energy (no corrections): -3.7710 eV/atom
Total moment: 1.581 μB/f.u.

The structure in CIF format:
```
data_Mg2MnNbPd
_chemical_formula_sum 'Mg2 Mn1 Nb1 Pd1'
_symmetry_space_group_name_H-M 'P 4/m m m'
_symmetry_Int_Tables_number 123
_symmetry_space_group_name_Hall '-P 4 2'
_cell_length_a 5.219
_cell_length_b 5.219
_cell_length_c 4.727
_cell_angle_alpha 90.00
_cell_angle_beta 90.00
_cell_angle_gamma 90.00
loop_
_atom_site_label
_atom_site_fract_x
_atom_site_fract_y
_atom_site_fract_z
Mg1 0.000 0.500 0.000
Mn1 0.000 0.000 0.500
Nb1 0.500 0.500 0.000
Pd1 0.500 0.500 0.500
```

=====

# MgMnNbRu

A relaxed MgMnNbRu crystal (GGA-PBE, Alexandria via LeMat-Bulk).

Computed properties:
Formation energy from the elements: -0.04 eV/atom
Total DFT energy (no corrections): -7.5692 eV/atom
Total moment: 2.117 μB/f.u.

The structure in CIF format:
```
data_MgMnNbRu
_chemical_formula_sum 'Mg4 Mn4 Nb4 Ru4'
_symmetry_space_group_name_H-M 'F -4 3 m'
_symmetry_Int_Tables_number 216
_symmetry_space_group_name_Hall 'F -4 2 3'
_cell_length_a 6.262
_cell_length_b 6.262
_cell_length_c 6.262
_cell_angle_alpha 90.00
_cell_angle_beta 90.00
_cell_angle_gamma 90.00
loop_
_atom_site_label
_atom_site_fract_x
_atom_site_fract_y
_atom_site_fract_z
Mg1 0.000 0.000 0.000
Mn1 0.250 0.250 0.250
Nb1 0.000 0.000 0.500
Ru1 0.250 0.250 0.750
```

=====

# MgMnNb2Tc

A relaxed MgMnNb2Tc crystal (GGA-PBE, Alexandria via LeMat-Bulk).

Computed properties:
Formation energy from the elements: 1.92 eV/atom
Total DFT energy (no corrections): -6.3310 eV/atom
Total moment: 0.000 μB/f.u.

The structure in CIF format:
```
data_MgMnNb2Tc
_chemical_formula_sum 'Mg1 Mn1 Nb2 Tc1'
_symmetry_space_group_name_H-M 'P 4/m m m'
_symmetry_Int_Tables_number 123
_symmetry_space_group_name_Hall '-P 4 2'
_cell_length_a 4.733
_cell_length_b 4.733
_cell_length_c 4.041
_cell_angle_alpha 90.00
_cell_angle_beta 90.00
_cell_angle_gamma 90.00
loop_
_atom_site_label
_atom_site_fract_x
_atom_site_fract_y
_atom_site_fract_z
Mg1 0.000 0.000 0.000
Mn1 0.000 0.000 0.500
Nb1 0.000 0.500 0.000
Tc1 0.500 0.500 0.500
```

=====

# MgZr2MnNb

A relaxed MgZr2MnNb crystal (GGA-PBE, Alexandria via LeMat-Bulk).

Computed properties:
Formation energy from the elements: 1.06 eV/atom
Total DFT energy (no corrections): -6.5213 eV/atom
Total moment: 4.111 μB/f.u.

The structure in CIF format:
```
data_MgZr2MnNb
_chemical_formula_sum 'Mg1 Zr2 Mn1 Nb1'
_symmetry_space_group_name_H-M 'P 4/m m m'
_symmetry_Int_Tables_number 123
_symmetry_space_group_name_Hall '-P 4 2'
_cell_length_a 4.990
_cell_length_b 4.990
_cell_length_c 5.314
_cell_angle_alpha 90.00
_cell_angle_beta 90.00
_cell_angle_gamma 90.00
loop_
_atom_site_label
_atom_site_fract_x
_atom_site_fract_y
_atom_site_fract_z
Mg1 0.000 0.000 0.000
Zr1 0.000 0.500 0.500
Mn1 0.500 0.500 0.000
Nb1 0.000 0.000 0.500
```

=====

# PmNdMgMn

A relaxed PmNdMgMn crystal (GGA-PBE, Alexandria via LeMat-Bulk).

Computed properties:
Formation energy from the elements: 0.12 eV/atom
Total DFT energy (no corrections): -4.9506 eV/atom
Total moment: 3.347 μB/f.u.

The structure in CIF format:
```
data_PmNdMgMn
_chemical_formula_sum 'Pm4 Nd4 Mg4 Mn4'
_symmetry_space_group_name_H-M 'F -4 3 m'
_symmetry_Int_Tables_number 216
_symmetry_space_group_name_Hall 'F -4 2 3'
_cell_length_a 7.546
_cell_length_b 7.546
_cell_length_c 7.546
_cell_angle_alpha 90.00
_cell_angle_beta 90.00
_cell_angle_gamma 90.00
loop_
_atom_site_label
_atom_site_fract_x
_atom_site_fract_y
_atom_site_fract_z
Pm1 0.000 0.000 0.000
Nd1 0.000 0.000 0.500
Mg1 0.250 0.250 0.250
Mn1 0.250 0.250 0.750
```

=====

# PrNdMgMn

A relaxed PrNdMgMn crystal (GGA-PBE, Alexandria via LeMat-Bulk).

Computed properties:
Formation energy from the elements: 0.13 eV/atom
Total DFT energy (no corrections): -4.9505 eV/atom
Total moment: 3.380 μB/f.u.

The structure in CIF format:
```
data_PrNdMgMn
_chemical_formula_sum 'Pr4 Nd4 Mg4 Mn4'
_symmetry_space_group_name_H-M 'F -4 3 m'
_symmetry_Int_Tables_number 216
_symmetry_space_group_name_Hall 'F -4 2 3'
_cell_length_a 7.603
_cell_length_b 7.603
_cell_length_c 7.603
_cell_angle_alpha 90.00
_cell_angle_beta 90.00
_cell_angle_gamma 90.00
loop_
_atom_site_label
_atom_site_fract_x
_atom_site_fract_y
_atom_site_fract_z
Pr1 0.000 0.000 0.000
Nd1 0.000 0.000 0.500
Mg1 0.250 0.250 0.750
Mn1 0.250 0.250 0.250
```

=====

# Nd2MgMn2Rh5

A relaxed Nd2MgMn2Rh5 crystal (GGA-PBE, Alexandria via LeMat-Bulk).

Computed properties:
Formation energy from the elements: -0.35 eV/atom
Total DFT energy (no corrections): -6.9744 eV/atom
Total moment: 7.458 μB/f.u.

The structure in CIF format:
```
data_Nd2MgMn2Rh5
_chemical_formula_sum 'Nd4 Mg2 Mn4 Rh10'
_symmetry_space_group_name_H-M 'P 4/m b m'
_symmetry_Int_Tables_number 127
_symmetry_space_group_name_Hall '-P 4 2ab'
_cell_length_a 9.773
_cell_length_b 9.773
_cell_length_c 3.726
_cell_angle_alpha 90.00
_cell_angle_beta 90.00
_cell_angle_gamma 90.00
loop_
_atom_site_label
_atom_site_fract_x
_atom_site_fract_y
_atom_site_fract_z
Nd1 0.179 0.321 0.000
Mg1 0.000 0.000 0.000
Mn1 0.120 0.620 0.000
Rh1 0.000 0.500 0.500
Rh2 0.063 0.792 0.500
```

=====

# NdMgScMn

A relaxed NdMgScMn crystal (GGA-PBE, Alexandria via LeMat-Bulk).

Computed properties:
Formation energy from the elements: 0.12 eV/atom
Total DFT energy (no corrections): -5.3436 eV/atom
Total moment: 2.922 μB/f.u.

The structure in CIF format:
```
data_NdMgScMn
_chemical_formula_sum 'Nd4 Mg4 Sc4 Mn4'
_symmetry_space_group_name_H-M 'F -4 3 m'
_symmetry_Int_Tables_number 216
_symmetry_space_group_name_Hall 'F -4 2 3'
_cell_length_a 7.231
_cell_length_b 7.231
_cell_length_c 7.231
_cell_angle_alpha 90.00
_cell_angle_beta 90.00
_cell_angle_gamma 90.00
loop_
_atom_site_label
_atom_site_fract_x
_atom_site_fract_y
_atom_site_fract_z
Nd1 0.000 0.000 0.000
Mg1 0.250 0.250 0.750
Sc1 0.000 0.000 0.500
Mn1 0.250 0.250 0.250
```

=====

# Nd2MgMnTe5

A relaxed Nd2MgMnTe5 crystal (GGA-PBE, Alexandria via LeMat-Bulk).

Computed properties:
Total DFT energy (no corrections): -4.9929 eV/atom
Formation energy without anion corrections: -0.992 eV/atom
Total moment: 4.993 μB/f.u.

The structure in CIF format:
```
data_Nd2MgMnTe5
_chemical_formula_sum 'Nd8 Mg4 Mn4 Te20'
_symmetry_space_group_name_H-M 'C m c 21'
_symmetry_Int_Tables_number 36
_cell_length_a 4.374
_cell_length_b 18.900
_cell_length_c 12.917
_cell_angle_alpha 90.00
_cell_angle_beta 90.00
_cell_angle_gamma 90.00
loop_
_symmetry_equiv_pos_as_xyz
'x,y,z'
'-x,-y,z+1/2'
'-x,y,z'
'x,-y,z+1/2'
'x+1/2,y+1/2,z'
'-x+1/2,-y+1/2,z+1/2'
'-x+1/2,y+1/2,z'
'x+1/2,-y+1/2,z+1/2'
loop_
_atom_site_label
_atom_site_fract_x
_atom_site_fract_y
_atom_site_fract_z
Nd1 0.000 0.115 0.000
Nd2 0.000 0.125 0.618
Mg1 0.000 0.202 0.326
Mn1 0.000 0.421 0.777
Te1 0.000 0.045 0.384
Te2 0.000 0.289 0.978
Te3 0.000 0.303 0.657
Te4 0.000 0.354 0.312
Te5 0.000 0.496 0.600
```

=====

# NdTmMgMn

A relaxed NdTmMgMn crystal (GGA-PBE, Alexandria via LeMat-Bulk).

Computed properties:
Formation energy from the elements: 0.11 eV/atom
Total DFT energy (no corrections): -4.8907 eV/atom
Total moment: 3.170 μB/f.u.

The structure in CIF format:
```
data_NdTmMgMn
_chemical_formula_sum 'Nd4 Tm4 Mg4 Mn4'
_symmetry_space_group_name_H-M 'F -4 3 m'
_symmetry_Int_Tables_number 216
_symmetry_space_group_name_Hall 'F -4 2 3'
_cell_length_a 7.395
_cell_length_b 7.395
_cell_length_c 7.395
_cell_angle_alpha 90.00
_cell_angle_beta 90.00
_cell_angle_gamma 90.00
loop_
_atom_site_label
_atom_site_fract_x
_atom_site_fract_y
_atom_site_fract_z
Nd1 0.000 0.000 0.000
Tm1 0.000 0.000 0.500
Mg1 0.250 0.250 0.250
Mn1 0.250 0.250 0.750
```

=====

Copy entry 3 word for word.
# MgMnNb2Tc

A relaxed MgMnNb2Tc crystal (GGA-PBE, Alexandria via LeMat-Bulk).

Computed properties:
Formation energy from the elements: 1.92 eV/atom
Total DFT energy (no corrections): -6.3310 eV/atom
Total moment: 0.000 μB/f.u.

The structure in CIF format:
```
data_MgMnNb2Tc
_chemical_formula_sum 'Mg1 Mn1 Nb2 Tc1'
_symmetry_space_group_name_H-M 'P 4/m m m'
_symmetry_Int_Tables_number 123
_symmetry_space_group_name_Hall '-P 4 2'
_cell_length_a 4.733
_cell_length_b 4.733
_cell_length_c 4.041
_cell_angle_alpha 90.00
_cell_angle_beta 90.00
_cell_angle_gamma 90.00
loop_
_atom_site_label
_atom_site_fract_x
_atom_site_fract_y
_atom_site_fract_z
Mg1 0.000 0.000 0.000
Mn1 0.000 0.000 0.500
Nb1 0.000 0.500 0.000
Tc1 0.500 0.500 0.500
```

=====

Question: Which value of total DFT energy (no corrections) does entry 4 give?
Answer: -6.5213 eV/atom